DFT (PBE) results for a geometry-optimized CrH2RuN structure.

Unit cell a=3.177 b=4.048 c=3.177 alpha=90.00 beta=90.00 gamma=90.00
Fractional coordinates of all 5 atoms:
1 Ru 0.000 0.000 0.000
2 N 0.000 0.500 0.000
3 H 0.000 0.000 0.500
4 H 0.500 0.000 0.000
5 Cr 0.500 0.500 0.500

Summary:
density: 6.873 g/cm3
electronic total energy: -6.296 eV per atom

---

DFT (PBE) results for a geometry-optimized CrHS2N structure.

Unit cell a=4.405 b=4.405 c=2.625 alpha=90.00 beta=90.00 gamma=90.00
Fractional coordinates of all 5 atoms:
1 Cr 0.500 0.500 0.500
2 S 0.000 0.500 0.000
3 S 0.500 0.000 0.000
4 H 0.000 0.000 0.000
5 N 0.000 0.000 0.500

Summary:
relative energy among the computed polymorphs: 395.2 meV per atom
density: 4.275 g/cm3

---

DFT (PBE) results for a geometry-optimized CrHSN2 structure.

Unit cell a=3.548 b=3.548 c=4.879 alpha=90.00 beta=90.00 gamma=90.00
Fractional coordinates of all 5 atoms:
1 Cr 0.000 0.000 0.000
2 S 0.000 0.000 0.500
3 H 0.500 0.500 0.500
4 N 0.000 0.500 0.000
5 N 0.500 0.000 0.000

Summary:
relative energy among the computed polymorphs: 0.0 meV per atom
density: 3.057 g/cm3

---

DFT (PBE) results for a geometry-optimized CrHSN2 structure.

Unit cell a=3.814 b=3.814 c=3.038 alpha=90.00 beta=90.00 gamma=90.00
Fractional coordinates of all 5 atoms:
1 Cr 0.500 0.500 0.500
2 S 0.000 0.000 0.500
3 H 0.000 0.000 0.000
4 N 0.000 0.500 0.000
5 N 0.500 0.000 0.000

Summary:
relative energy among the computed polymorphs: 663.7 meV per atom
density: 4.249 g/cm3

---

DFT (PBE) results for a geometry-optimized CrHS2N structure.

Unit cell a=4.529 b=4.529 c=3.520 alpha=90.00 beta=90.00 gamma=90.00
Fractional coordinates of all 5 atoms:
1 Cr 0.000 0.000 0.000
2 S 0.000 0.500 0.000
3 S 0.500 0.000 0.000
4 H 0.500 0.500 0.500
5 N 0.000 0.000 0.500

Summary:
relative energy among the computed polymorphs: 0.0 meV per atom
density: 3.017 g/cm3

---

DFT (PBE) results for a geometry-optimized CrHSe2N structure.

Unit cell a=4.793 b=4.793 c=3.507 alpha=90.00 beta=90.00 gamma=90.00
Fractional coordinates of all 5 atoms:
1 Cr 0.000 0.000 0.000
2 H 0.500 0.500 0.500
3 Se 0.000 0.500 0.000
4 Se 0.500 0.000 0.000
5 N 0.000 0.000 0.500

Summary:
relative energy among the computed polymorphs: 0.0 meV per atom
density: 4.636 g/cm3

---

DFT (PBE) results for a geometry-optimized CrHSe2N structure.

Unit cell a=4.861 b=4.861 c=2.734 alpha=90.00 beta=90.00 gamma=90.00
Fractional coordinates of all 5 atoms:
1 Cr 0.500 0.500 0.500
2 H 0.000 0.000 0.000
3 Se 0.000 0.500 0.000
4 Se 0.500 0.000 0.000
5 N 0.000 0.000 0.500

Summary:
relative energy among the computed polymorphs: 246.0 meV per atom
density: 5.780 g/cm3

---

DFT (PBE) results for a geometry-optimized CrHSeN2 structure.

Unit cell a=3.861 b=3.861 c=3.074 alpha=90.00 beta=90.00 gamma=90.00
Fractional coordinates of all 5 atoms:
1 Cr 0.500 0.500 0.500
2 H 0.000 0.000 0.000
3 Se 0.000 0.000 0.500
4 N 0.000 0.500 0.000
5 N 0.500 0.000 0.000

Summary:
relative energy among the computed polymorphs: 1027.4 meV per atom
density: 5.798 g/cm3

---

- The highest density belongs to which entry?
  CrH2RuN